A plane-wave DFT calculation with GGA-PBE was carried out for a relaxed structure of VZnCuIr.

It has space group F-43m (No. 216), with a = 6.0113 Å, b = 6.0113 Å, c = 6.0113 Å, α = 90.00°, β = 90.00° and γ = 90.00°. The inequivalent atoms are V at (0.0000, 0.0000, 0.0000), Zn at (0.0000, 0.0000, 0.5000), Cu at (0.2500, 0.2500, 0.2500) and Ir at (0.2500, 0.2500, 0.7500).

For the calculated formation energy, the calculation gives -0.644 eV/f.u. The calculation puts the final energy at -96.0 eV for the cell shown. The size of the total moment comes out at 0.83 μB/f.u. Its density of states at the Fermi level is 12.94 states/eV/cell.

A plane-wave DFT calculation with GGA-PBE was carried out for a relaxed structure of TmPb4F10.

It has space group I4/m (No. 87), with a = 9.1173 Å, b = 9.1173 Å, c = 6.2283 Å, α = 90.00°, β = 90.00° and γ = 90.00°. The inequivalent atoms are Tm at (0.0000, 0.0000, 0.0000), Pb at (0.1017, 0.7011, 0.5000), F at (0.0000, 0.5000, 0.2500) and F at (0.0956, 0.1824, 0.2110).

The calculation puts the final energy at -156.0 eV for the cell shown. The size of the total moment comes out at 0.00 μB/f.u. The value obtained for the raw formation energy is -2664 meV per atom. Its density of states at the Fermi level is 10.60 states/eV/cell.

Which of these has the highest size of the total moment?
VZnCuIr

What is the formula in the second record?
TmPb4F10

What did the second record say?
A plane-wave DFT calculation with GGA-PBE was carried out for a relaxed structure of TmPb4F10.

It has space group I4/m (No. 87), with a = 9.1173 Å, b = 9.1173 Å, c = 6.2283 Å, α = 90.00°, β = 90.00° and γ = 90.00°. The inequivalent atoms are Tm at (0.0000, 0.0000, 0.0000), Pb at (0.1017, 0.7011, 0.5000), F at (0.0000, 0.5000, 0.2500) and F at (0.0956, 0.1824, 0.2110).

The calculation puts the final energy at -156.0 eV for the cell shown. The size of the total moment comes out at 0.00 μB/f.u. The value obtained for the raw formation energy is -2664 meV per atom. Its density of states at the Fermi level is 10.60 states/eV/cell.

Which value of size of the total moment does entry 1 give?
0.83 μB/f.u.